Below is a relaxed structure of Ho2Tm4Mg, with properties calculated at the PBE-GGA level.

Cell: 3.5609 5.8432 11.2048 Å, 111.86 90.00 90.00°
Element x y z (fractional)
Ho  0.0000  0.5000  0.5000
Ho  0.5000  0.0001  0.5001
Tm  0.5000  0.1690  0.2485
Tm  0.5000  0.8309  0.7515
Tm  0.0000  0.3634  0.8019
Tm  0.0000  0.6366  0.1981
Mg  0.0000  0.0000  0.0000

The value obtained for the total energy is -3.943 eV/atom. The value obtained for the spin magnetization is 0.00 μB/atom. The space-group type is No. 10.